[1]
The following is a DFT calculation (PBE) of a relaxed Pm3HoHg crystal.

abc: 3.608 8.284 11.212
angles: 105.84 99.26 90.00
Fractional positions:
Hg 0.583 0.613 0.166
Hg 0.417 0.387 0.834
Pm 0.619 0.043 0.239
Pm 0.381 0.957 0.761
Pm 0.826 0.549 0.651
Pm 0.013 0.245 0.027
Pm 0.987 0.755 0.973
Pm 0.174 0.451 0.349
Ho 0.265 0.178 0.529
Ho 0.735 0.822 0.471

Calculated values
DFT total energy: -0.144 hartree per atom
E above lowest polymorph: 0.07 eV per formula unit

[2]
The following is a DFT calculation (PBE) of a relaxed Pm6Ho2Hg crystal.

abc: 3.590 10.300 9.640
angles: 122.29 100.76 90.00
Fractional positions:
Ho 0.152 0.651 0.302
Ho 0.848 0.349 0.698
Pm 0.500 0.293 0.000
Pm 0.500 0.707 0.000
Pm 0.178 0.339 0.356
Pm 0.178 0.016 0.356
Pm 0.822 0.984 0.644
Pm 0.822 0.661 0.644
Hg 0.000 0.000 0.000

Calculated values
DFT total energy: -0.155 hartree per atom

[3]
The following is a DFT calculation (PBE) of a relaxed Pm2Ho3Hg6 crystal.

abc: 5.082 5.082 13.930
angles: 100.51 100.51 90.00
Each line ends with the local moment (μB).
Fractional positions:
Hg 0.565 0.065 0.129  0.00
Hg 0.935 0.435 0.871  0.00
Hg 0.752 0.752 0.505  0.00
Hg 0.435 0.935 0.871  0.00
Hg 0.248 0.248 0.495  0.00
Hg 0.065 0.565 0.129  0.00
Ho 0.132 0.132 0.265  0.06
Ho 0.000 0.000 0.000  -0.01
Ho 0.868 0.868 0.735  0.06
Pm 0.634 0.634 0.269  0.06
Pm 0.366 0.366 0.731  0.06

Calculated values
DFT total energy: -0.088 hartree per atom

[4]
The following is a DFT calculation (PBE) of a relaxed Pm2HoHg6 crystal.

abc: 3.459 8.673 8.673
angles: 120.00 90.00 90.00
Each line ends with the local moment (μB).
Fractional positions:
Pm 0.000 0.333 0.667  0.09
Pm 0.000 0.667 0.333  0.09
Ho 0.000 0.000 0.000  0.02
Hg 0.500 0.669 0.000  0.00
Hg 0.500 0.000 0.331  0.00
Hg 0.500 0.331 0.000  0.00
Hg 0.500 0.000 0.669  0.00
Hg 0.500 0.331 0.331  0.00
Hg 0.500 0.669 0.669  0.00

Calculated values
DFT total energy: -0.080 hartree per atom

Per-record formation energy, eV per atom: -0.082, 0.000, -0.110, -0.407
Per-record total magnetization, μB per atom: 0.000, 0.000, 0.030, 0.041